## CrTe2Cl (SCAN)

Data for a PBEsol-optimized structure of CrTe2Cl.

Cell lengths 4.1498, 4.1498, 5.7822 Å; angles 90.00, 90.00, 90.00 degrees
Space group P4/mmm (No. 123)
Unique sites:
1 Cr 0.0000 0.0000 0.0000
2 Te 0.0000 0.5000 0.5000
3 Cl 0.5000 0.5000 0.0000

Values from the calculation:
- offset from the most stable computed form (eV/atom) = 0.000
- spin magnetization (μB per formula unit) = 4.17
- volume (Å³/atom) = 24.893
- formation energy without anion corrections (eV/atom) = -0.026

---

## CrTeCl2 (SCAN)

Data for a PBEsol-optimized structure of CrTeCl2.

Cell lengths 3.2412, 3.1733, 10.1576 Å; angles 90.00, 97.22, 90.00 degrees
Space group P2/m (No. 10)
Unique sites:
1 Cr 0.0000 0.0000 0.0000
2 Te 0.5000 0.0000 0.5000
3 Cl 0.1617 0.5000 0.8499

Values from the calculation:
- offset from the most stable computed form (eV/atom) = 0.000
- spin magnetization (μB per formula unit) = 3.97
- volume (Å³/atom) = 25.911
- formation energy without anion corrections (eV/atom) = -0.815

---

## CrTeCl2 (SCAN)

Data for a PBEsol-optimized structure of CrTeCl2.

Cell lengths 3.0680, 5.9056, 10.9380 Å; angles 90.00, 90.00, 90.00 degrees
Space group Immm (No. 71)
Unique sites:
1 Cr 0.0000 0.0000 0.0000
2 Te 0.0000 0.0000 0.5000
3 Cl 0.0000 0.5000 0.3414

Values from the calculation:
- offset from the most stable computed form (eV/atom) = 0.085
- spin magnetization (μB per formula unit) = 2.90
- volume (Å³/atom) = 24.772
- formation energy without anion corrections (eV/atom) = -0.731

---

## CrTeCl2 (SCAN)

Data for a PBEsol-optimized structure of CrTeCl2.

Cell lengths 6.7851, 6.7851, 6.7851 Å; angles 90.00, 90.00, 90.00 degrees
Space group F-43m (No. 216)
Unique sites:
1 Cr 0.0000 0.0000 0.0000
2 Te 0.2500 0.2500 0.7500
3 Cl 0.0000 0.0000 0.5000
4 Cl 0.2500 0.2500 0.2500

Values from the calculation:
- offset from the most stable computed form (eV/atom) = 0.774
- spin magnetization (μB per formula unit) = 2.14
- volume (Å³/atom) = 19.523
- formation energy without anion corrections (eV/atom) = -0.041

---

Question: Which formula does entry 1 have?
Answer: CrTe2Cl

---

Question: The lowest spin magnetization belongs to which entry?
Answer: number 4